Rb2AlCO after structural relaxation, computed with PBE.

The structure in POSCAR format:
```
Rb2AlCO
1.0
6.4172 0.0000 0.0000
0.0000 3.6001 0.0000
0.0000 0.0000 6.4172
C Rb O Al
1 2 1 1
Cartesian
0.0000 1.8001 0.0000 C
0.0000 0.0000 3.2086 Rb
3.2086 0.0000 0.0000 Rb
3.2086 1.8001 3.2086 O
0.0000 0.0000 0.0000 Al
```

Summary:
**Formation energy without anion corrections**: 2.40 eV per formula unit
**SG**: P4/mmm (123)
**Magnetization**: 1.00 Bohr magnetons per cell

***

RbScRe3 after structural relaxation, computed with PBE.

The structure in POSCAR format:
```
RbScRe3
1.0
-0.9306 -0.9892 4.6855
4.4805 -1.8646 0.4962
1.6903 4.3980 1.2642
Re Rb Sc
3 1 1
Cartesian
-0.4653 -0.4946 2.3427 Re
2.2403 -0.9323 0.2481 Re
0.8451 2.1990 0.6321 Re
2.6201 0.7721 3.2229 Rb
0.0000 0.0000 0.0000 Sc
```

Summary:
**Formation energy**: 2.727 eV per atom
**SG**: Pm-3m (221)
**Polymorph energy (0 for the lowest one)**: 0.0 meV/atom
**Magnetization**: 0.00 Bohr magnetons per cell

***

La2CdPdC after structural relaxation, computed with PBE.

The structure in POSCAR format:
```
La2CdPdC
1.0
-4.2533 -3.3011 -0.0393
0.2102 -0.3347 5.3697
-2.4929 3.2085 0.2976
C Cd La Pd
1 1 2 1
Cartesian
0.0000 0.0000 0.0000 C
-3.2680 -0.2136 2.8140 Cd
-2.1267 -1.6505 -0.0196 La
0.1051 -0.1674 2.6848 La
-1.2464 1.6042 0.1488 Pd
```

Summary:
**Formation energy**: -0.255 eV per atom
**SG**: P4/mmm (123)
**Magnetization**: 0.00 Bohr magnetons per cell

***

Tb3Dy6Tl after structural relaxation, computed with PBE.

The structure in POSCAR format:
```
Tb3Dy6Tl
1.0
3.4982 0.0000 0.0000
0.0000 12.2875 -3.3217
0.0000 1.1554 14.1710
Dy Tb Tl
12 6 2
Cartesian
2.6236 9.6035 1.8554 Dy
0.8745 6.6343 2.6885 Dy
2.6236 10.3280 7.5533 Dy
2.6236 10.0191 -1.6190 Dy
2.6236 6.8086 8.1608 Dy
0.8745 9.1128 10.3170 Dy
0.8745 3.8394 8.9939 Dy
0.8745 3.1149 3.2960 Dy
2.6236 4.3301 0.5323 Dy
0.8745 11.5040 4.6092 Dy
2.6236 1.9389 6.2402 Dy
0.8745 3.4238 12.4684 Dy
0.8745 12.4204 9.6382 Tb
0.8745 5.1218 5.8169 Tb
2.6236 1.0224 1.2111 Tb
2.6236 6.2323 11.3966 Tb
0.8745 7.2106 -0.5473 Tb
2.6236 8.3211 5.0324 Tb
2.6236 1.2452 10.1285 Tl
0.8745 12.1977 0.7208 Tl
```

Summary:
**Formation energy**: 0.015 eV per atom
**SG**: P2_1/m (11)
**Polymorph energy (0 for the lowest one)**: 0.0 meV/atom
**Magnetization**: 0.00 Bohr magnetons per cell

***

La2NdY after structural relaxation, computed with PBE.

The structure in POSCAR format:
```
La2NdY
1.0
-2.0433 0.9565 2.9569
-5.2566 -1.7257 -3.0742
2.2312 -5.0084 3.1620
Nd Y La
1 1 2
Cartesian
-1.0216 0.4783 1.4784 Nd
-2.5344 -2.8888 1.5223 Y
1.1156 -2.5042 1.5810 La
-2.6283 -0.8629 -1.5371 La
```

Summary:
**Formation energy**: 0.016 eV per atom
**SG**: Cmmm (65)
**Polymorph energy (0 for the lowest one)**: 4.2 meV/atom
**Magnetization**: 0.00 Bohr magnetons per cell

***

PmTcN4 after structural relaxation, computed with PBE.

The structure in POSCAR format:
```
PmTcN4
1.0
5.2978 0.0000 0.0000
0.0000 5.2978 0.0000
-2.6489 -2.6489 6.0977
N Tc Pm
8 2 2
Cartesian
-0.7003 3.9921 2.0410 N
3.3492 1.3057 1.0079 N
-1.3432 1.9486 4.0568 N
-1.3432 -0.7003 5.0898 N
0.7003 1.3057 2.0410 N
1.3432 0.7003 5.0898 N
1.3432 3.3492 4.0568 N
1.9486 3.9921 1.0079 N
2.6489 2.6489 0.0000 Tc
0.0000 2.6489 3.0489 Tc
0.0000 0.0000 0.0000 Pm
2.6489 0.0000 3.0489 Pm
```

Summary:
**Formation energy without anion corrections**: 0.38 eV per formula unit
**SG**: I4_1/a (88)
**Magnetization**: 4.03 Bohr magnetons per cell

***

Y2TiCu2 after structural relaxation, computed with PBE.

The structure in POSCAR format:
```
Y2TiCu2
1.0
-2.8443 -1.5902 0.9964
-0.1853 -1.5624 -3.0226
3.5670 -8.5897 2.3006
Y Cu Ti
2 2 1
Cartesian
0.8728 -8.5383 0.5185 Y
-0.3354 -3.2039 -0.2441 Y
-0.3961 -5.8781 1.1419 Cu
0.9334 -5.8642 -0.8675 Cu
0.0000 0.0000 0.0000 Ti
```

Summary:
**Formation energy**: 0.171 eV per atom
**SG**: I4/mmm (139)
**Polymorph energy (0 for the lowest one)**: 222.7 meV/atom
**Magnetization**: 0.00 Bohr magnetons per cell

***

LiTbSmSn after structural relaxation, computed with PBE.

The structure in POSCAR format:
```
LiTbSmSn
1.0
-4.3946 -2.8106 -0.8117
-1.7891 -3.2464 3.7591
-4.4187 1.1906 2.6323
Li Tb Sn Sm
1 1 1 1
Cartesian
-7.9518 -3.6499 4.1848 Li
0.0000 0.0000 0.0000 Tb
-2.6506 -1.2166 1.3949 Sn
-5.3012 -2.4333 2.7899 Sm
```

Summary:
**Formation energy**: -0.432 eV per atom
**SG**: F-43m (216)
**Magnetization**: 0.00 Bohr magnetons per cell